KSnHg3 | PBE | optimized geometry

abc: 5.4462 5.4462 6.6666
angles: 114.11 114.11 90.00
Closest atoms and distances in Å follow each position.
Fractional positions:
K1 0.0187 0.0187 0.0374  13 Hg 3.78-4.09, 5 Sn 3.92-4.14
Sn1 0.6589 0.6589 0.3178  5 Hg 2.90-2.94
Hg1 0.2601 0.7601 0.5202  2 Sn 2.94, 2 Hg 3.08
Hg2 0.7601 0.2601 0.5202  2 Sn 2.94, 2 Hg 3.08
Hg3 0.3924 0.3924 0.7848  1 Sn 2.90, 4 Hg 3.08

Calculated values
Relative energy among the computed polymorphs: 0 meV per atom
SG: I4mm (107)
Total magnetization: 0.0 μB/f.u.
Crystal system: tetragonal
E_form: -0.1585 eV per atom